(1)
# BaCuSi2, optimized geometry, DFT PBE
data_BaCuSi2
_symmetry_space_group_name_H-M 'P 1'
_symmetry_Int_Tables_number 1
_cell_length_a 6.616
_cell_length_b 5.787
_cell_length_c 2.999
_cell_angle_alpha 90.20
_cell_angle_beta 62.65
_cell_angle_gamma 116.90
loop_
_symmetry_equiv_pos_as_xyz
'x,y,z'
loop_
_atom_site_label
_atom_site_type_symbol
_atom_site_fract_x
_atom_site_fract_y
_atom_site_fract_z
Ba1 Ba 0.000 0.500 0.500
Cu1 Cu 0.500 0.500 0.000
Si1 Si 0.000 0.000 0.000
Si2 Si 0.500 0.000 0.500
# E_form (uncorrected)   0.5855 eV per atom
# DOS(E_F)   0.56 states/eV/atom
# Space-group type   C2/m
# Calculated total energy   -3.63 eV per atom

(2)
# Re3Ag, optimized geometry, DFT PBE
data_Re3Ag
_symmetry_space_group_name_H-M 'P 1'
_symmetry_Int_Tables_number 1
_cell_length_a 7.906
_cell_length_b 3.987
_cell_length_c 10.060
_cell_angle_alpha 90.00
_cell_angle_beta 168.70
_cell_angle_gamma 90.00
loop_
_symmetry_equiv_pos_as_xyz
'x,y,z'
loop_
_atom_site_label
_atom_site_type_symbol
_atom_site_fract_x
_atom_site_fract_y
_atom_site_fract_z
Re1 Re 0.324 0.500 0.053
Re2 Re 0.500 0.000 0.000
Re3 Re 0.676 0.500 0.947
Ag1 Ag 0.000 0.000 0.000
# DOS(E_F)   0.76 states/eV/atom
# Space-group type   P2/m
# Calculated total energy   -9.62 eV per atom
# Formation energy   0.432 eV per atom
# Energy above the most stable polymorph in this dataset   155 meV per atom

(3)
# Ga4NiIr3, optimized geometry, DFT PBE
data_Ga4NiIr3
_symmetry_space_group_name_H-M 'P 1'
_symmetry_Int_Tables_number 1
_cell_length_a 4.091
_cell_length_b 4.091
_cell_length_c 7.316
_cell_angle_alpha 106.32
_cell_angle_beta 106.32
_cell_angle_gamma 90.06
loop_
_symmetry_equiv_pos_as_xyz
'x,y,z'
loop_
_atom_site_label
_atom_site_type_symbol
_atom_site_fract_x
_atom_site_fract_y
_atom_site_fract_z
Ni1 Ni 0.500 0.000 0.000
Ir1 Ir 0.000 0.500 0.000
Ir2 Ir 0.740 0.240 0.481
Ir3 Ir 0.260 0.760 0.519
Ga1 Ga 0.377 0.377 0.754
Ga2 Ga 0.623 0.623 0.246
Ga3 Ga 0.122 0.123 0.246
Ga4 Ga 0.878 0.877 0.754
# DOS(E_F)   0.43 states/eV/atom
# Space-group type   C2/m
# Calculated total energy   -5.93 eV per atom
# Formation energy   -0.371 eV per atom

(4)
# AcLaCeGa, optimized geometry, DFT PBE
data_AcLaCeGa
_symmetry_space_group_name_H-M 'P 1'
_symmetry_Int_Tables_number 1
_cell_length_a 5.591
_cell_length_b 5.591
_cell_length_c 5.591
_cell_angle_alpha 60.00
_cell_angle_beta 60.00
_cell_angle_gamma 60.00
loop_
_symmetry_equiv_pos_as_xyz
'x,y,z'
loop_
_atom_site_label
_atom_site_type_symbol
_atom_site_fract_x
_atom_site_fract_y
_atom_site_fract_z
Ac1 Ac 0.750 0.750 0.750
Ga1 Ga 0.250 0.250 0.250
Ce1 Ce 0.500 0.500 0.500
La1 La 0.000 0.000 0.000
# DOS(E_F)   2.62 states/eV/atom
# Space-group type   F-43m
# Calculated total energy   -4.46 eV per atom
# Formation energy   0.038 eV per atom

(5)
# GaSe2NO, optimized geometry, DFT PBE
data_GaSe2NO
_symmetry_space_group_name_H-M 'P 1'
_symmetry_Int_Tables_number 1
_cell_length_a 5.226
_cell_length_b 5.226
_cell_length_c 3.614
_cell_angle_alpha 90.00
_cell_angle_beta 90.00
_cell_angle_gamma 90.00
loop_
_symmetry_equiv_pos_as_xyz
'x,y,z'
loop_
_atom_site_label
_atom_site_type_symbol
_atom_site_fract_x
_atom_site_fract_y
_atom_site_fract_z
O1 O 0.500 0.500 0.500
Ga1 Ga 0.000 0.000 0.000
Se1 Se 0.000 0.500 0.000
Se2 Se 0.500 0.000 0.000
N1 N 0.000 0.000 0.500
# E_form (uncorrected)   1.2844 eV per atom
# DOS(E_F)   1.21 states/eV/atom
# Space-group type   P4/mmm
# Calculated total energy   -3.37 eV per atom
# Energy above the most stable polymorph in this dataset   129 meV per atom

(6)
# Ga2RhBr, optimized geometry, DFT PBE
data_Ga2RhBr
_symmetry_space_group_name_H-M 'P 1'
_symmetry_Int_Tables_number 1
_cell_length_a 6.161
_cell_length_b 6.161
_cell_length_c 7.229
_cell_angle_alpha 64.78
_cell_angle_beta 64.78
_cell_angle_gamma 90.00
loop_
_symmetry_equiv_pos_as_xyz
'x,y,z'
loop_
_atom_site_label
_atom_site_type_symbol
_atom_site_fract_x
_atom_site_fract_y
_atom_site_fract_z
Rh1 Rh 0.000 0.000 0.000
Rh2 Rh 0.750 0.250 0.500
Ga1 Ga 0.696 0.125 0.250
Ga2 Ga 0.054 0.625 0.250
Ga3 Ga 0.375 0.304 0.750
Ga4 Ga 0.875 0.946 0.750
Br1 Br 0.500 0.500 0.000
Br2 Br 0.250 0.750 0.500
# E_form (uncorrected)   -0.1142 eV per atom
# DOS(E_F)   0.09 states/eV/atom
# Space-group type   I-42d
# Calculated total energy   -3.88 eV per atom
# Energy above the most stable polymorph in this dataset   0 meV per atom

(7)
# CaIn2Fe2, optimized geometry, DFT PBE
data_CaIn2Fe2
_symmetry_space_group_name_H-M 'P 1'
_symmetry_Int_Tables_number 1
_cell_length_a 8.021
_cell_length_b 8.021
_cell_length_c 2.982
_cell_angle_alpha 90.00
_cell_angle_beta 90.00
_cell_angle_gamma 90.00
loop_
_symmetry_equiv_pos_as_xyz
'x,y,z'
loop_
_atom_site_label
_atom_site_type_symbol
_atom_site_fract_x
_atom_site_fract_y
_atom_site_fract_z
Ca1 Ca 0.000 0.000 0.000
Ca2 Ca 0.500 0.500 0.000
Fe1 Fe 0.390 0.890 0.000
Fe2 Fe 0.890 0.610 0.000
Fe3 Fe 0.610 0.110 0.000
Fe4 Fe 0.110 0.390 0.000
In1 In 0.178 0.678 0.500
In2 In 0.678 0.822 0.500
In3 In 0.822 0.322 0.500
In4 In 0.322 0.178 0.500
# DOS(E_F)   0.69 states/eV/atom
# Space-group type   P4/mbm
# Calculated total energy   -4.74 eV per atom
# Formation energy   0.137 eV per atom
# Energy above the most stable polymorph in this dataset   1 meV per atom

(8)
# LaCe2F8, optimized geometry, DFT PBE
data_LaCe2F8
_symmetry_space_group_name_H-M 'P 1'
_symmetry_Int_Tables_number 1
_cell_length_a 4.059
_cell_length_b 5.817
_cell_length_c 7.668
_cell_angle_alpha 109.67
_cell_angle_beta 105.35
_cell_angle_gamma 90.00
loop_
_symmetry_equiv_pos_as_xyz
'x,y,z'
loop_
_atom_site_label
_atom_site_type_symbol
_atom_site_fract_x
_atom_site_fract_y
_atom_site_fract_z
La1 La 0.500 0.000 0.000
Ce1 Ce 0.822 0.316 0.643
Ce2 Ce 0.178 0.684 0.357
F1 F 0.402 0.565 0.804
F2 F 0.665 0.956 0.330
F3 F 0.789 0.693 0.578
F4 F 0.970 0.202 0.941
F5 F 0.211 0.307 0.422
F6 F 0.335 0.044 0.670
F7 F 0.598 0.435 0.196
F8 F 0.030 0.798 0.059
# E_form (uncorrected)   -3.8798 eV per atom
# DOS(E_F)   1.81 states/eV/atom
# Space-group type   C2/m
# Calculated total energy   -6.77 eV per atom
# Energy above the most stable polymorph in this dataset   0 meV per atom